No. 1
# NaCoTc2

A relaxed structure of NaCoTc2 (PBE, Alexandria via LeMat-Bulk).

space group	Fm-3m (225)
uncorrected energy	-24.88	eV per cell
energy of formation	1.070	eV/atom
excess energy over the best structure of this formula in the dataset	53	meV per atom
magnetization	0.0	μB/f.u.

Cell: 4.2895 4.2895 4.2895 Å, 60.00 60.00 60.00°
With the nearest neighbours (Å) after each atom.
Positions (direct):
Na  0.0000  0.0000  0.0000  8 Tc 2.63
Co  0.5000  0.5000  0.5000  8 Tc 2.63
Tc  0.2500  0.2500  0.2500  4 Co 2.63, 4 Na 2.63
Tc  0.7500  0.7500  0.7500  4 Na 2.63, 4 Co 2.63

No. 2
# PuZn2Ge

A relaxed structure of PuZn2Ge (PBE, Alexandria via LeMat-Bulk).

space group	Fm-3m (225)
uncorrected energy	-21.71	eV per cell
energy of formation	-0.053	eV/atom
excess energy over the best structure of this formula in the dataset	188	meV per atom
magnetization	5.5	μB/f.u.

Cell: 4.7597 4.7597 4.7606 Å, 60.01 60.01 60.00°
With the nearest neighbours (Å) after each atom.
Positions (direct):
Ge  0.0000  0.0000  0.0000  8 Zn 2.91-2.92
Zn  0.2501  0.2501  0.2498  4 Ge 2.91-2.92, 4 Pu 2.91-2.92
Zn  0.7499  0.7499  0.7502  4 Ge 2.91-2.92, 4 Pu 2.91-2.92
Pu  0.5000  0.5000  0.5000  8 Zn 2.91-2.92

energy of formation of number 1 (NaCoTc2)? 1.070 eV/atom

Among the records above, which one has the lowest energy of formation? PuZn2Ge

Among the records above, which one has the lowest magnetization? NaCoTc2